<a>
CaPm7Sm3 | PBE | optimized geometry

Geometry as POSCAR:
```
CaPm7Sm3
1.0
6.564 0.010 0.432
0.416 7.756 1.107
-0.017 0.046 7.845
Ca Pm Sm
1 7 3
Direct
0.500 0.500 0.500 Ca
0.000 0.500 0.500 Pm
0.744 0.574 0.918 Pm
0.256 0.426 0.082 Pm
0.744 0.918 0.574 Pm
0.792 0.234 0.234 Pm
0.208 0.766 0.766 Pm
0.256 0.082 0.426 Pm
0.500 0.000 0.000 Sm
0.000 0.830 0.170 Sm
0.000 0.170 0.830 Sm
```

<b>
CaPm7Sm3 | PBE | optimized geometry

Geometry as POSCAR:
```
CaPm7Sm3
1.0
-4.089 2.339 -7.447
-0.767 -6.991 -1.775
-5.141 3.343 3.873
Pm Ca Sm
7 1 3
Direct
0.110 0.165 0.329 Pm
0.110 0.671 0.835 Pm
0.110 0.165 0.835 Pm
0.450 0.832 0.663 Pm
0.450 0.832 0.168 Pm
0.124 0.667 0.333 Pm
0.450 0.337 0.168 Pm
0.445 0.333 0.667 Ca
0.788 0.503 0.005 Sm
0.788 0.503 0.497 Sm
0.788 0.995 0.497 Sm
```

Which structure wins on stability? <b> wins.

<a>
Ca2PmSn | PBE | optimized geometry

Geometry as POSCAR:
```
Ca2PmSn
1.0
5.190 0.000 0.000
0.000 4.900 0.000
0.000 0.000 4.900
Ca Sn Pm
2 1 1
Direct
0.000 0.000 0.500 Ca
0.000 0.500 0.000 Ca
0.500 0.000 0.000 Sn
0.500 0.500 0.500 Pm
```

<b>
Ca2PmSn | PBE | optimized geometry

Geometry as POSCAR:
```
Ca2PmSn
1.0
5.628 0.000 0.000
2.814 4.874 0.000
2.814 1.625 4.594
Pm Ca Sn
1 2 1
Direct
0.500 0.500 0.500 Pm
0.250 0.250 0.250 Ca
0.750 0.750 0.750 Ca
0.000 0.000 0.000 Sn
```

Which structure wins on stability? <a> wins.

<a>
SrCaPm2 | PBE | optimized geometry

Geometry as POSCAR:
```
SrCaPm2
1.0
-1.416 4.688 3.037
-4.886 -0.311 -1.797
-1.298 -3.017 4.051
Ca Pm Sr
1 2 1
Direct
0.500 0.000 0.000 Ca
0.000 0.500 0.000 Pm
0.000 0.000 0.500 Pm
0.500 0.500 0.500 Sr
```

<b>
SrCaPm2 | PBE | optimized geometry

Geometry as POSCAR:
```
SrCaPm2
1.0
-0.243 5.985 0.941
-5.368 2.776 0.492
-1.819 2.153 5.368
Pm Ca Sr
2 1 1
Direct
0.750 0.750 0.750 Pm
0.250 0.250 0.250 Pm
0.000 0.000 0.000 Ca
0.500 0.500 0.500 Sr
```

Which structure wins on stability? <a> wins.

<a>
SrCa4Pm | PBE | optimized geometry

Geometry as POSCAR:
```
SrCa4Pm
1.0
4.036 -0.191 0.001
0.191 4.036 0.001
0.002 0.002 15.447
Ca Pm Sr
4 1 1
Direct
0.000 0.000 0.351 Ca
0.500 0.500 0.812 Ca
0.000 0.000 0.649 Ca
0.500 0.500 0.188 Ca
0.500 0.500 0.500 Pm
0.000 0.000 0.000 Sr
```

<b>
SrCa4Pm | PBE | optimized geometry

Geometry as POSCAR:
```
SrCa4Pm
1.0
7.203 0.000 0.000
3.602 6.238 0.000
3.602 2.079 5.882
Ca Sr Pm
4 1 1
Direct
0.626 0.626 0.626 Ca
0.626 0.626 0.123 Ca
0.626 0.123 0.626 Ca
0.123 0.626 0.626 Ca
0.250 0.250 0.250 Sr
0.000 0.000 0.000 Pm
```

Which structure wins on stability? <a> wins.

<a>
Sr2CaPm | PBE | optimized geometry

Geometry as POSCAR:
```
Sr2CaPm
1.0
-2.715 -2.331 -1.683
-2.697 -1.829 2.239
-9.872 8.938 -1.099
Pm Ca Sr
1 1 2
Direct
0.667 0.667 0.000 Pm
0.500 0.500 0.500 Ca
0.081 0.081 0.757 Sr
0.252 0.252 0.243 Sr
```

<b>
Sr2CaPm | PBE | optimized geometry

Geometry as POSCAR:
```
Sr2CaPm
1.0
-4.197 -4.564 -1.086
0.608 -3.696 -5.059
1.661 -6.032 0.690
Sr Ca Pm
2 1 1
Direct
0.250 0.250 0.250 Sr
0.750 0.750 0.750 Sr
0.500 0.500 0.500 Ca
0.000 0.000 0.000 Pm
```

Which structure wins on stability? <a> wins.

<a>
SrCa2Pm | PBE | optimized geometry

Geometry as POSCAR:
```
SrCa2Pm
1.0
3.877 0.000 0.000
1.939 3.358 0.000
1.939 1.119 12.854
Ca Pm Sr
2 1 1
Direct
0.079 0.079 0.763 Ca
0.254 0.254 0.237 Ca
0.667 0.667 0.999 Pm
0.500 0.500 0.500 Sr
```

<b>
SrCa2Pm | PBE | optimized geometry

Geometry as POSCAR:
```
SrCa2Pm
1.0
4.292 0.000 0.000
0.000 6.205 0.000
0.000 0.000 6.205
Pm Ca Sr
1 2 1
Direct
0.500 0.500 0.500 Pm
0.000 0.000 0.500 Ca
0.000 0.500 0.000 Ca
0.500 0.000 0.000 Sr
```

<c>
SrCa2Pm | PBE | optimized geometry

Geometry as POSCAR:
```
SrCa2Pm
1.0
-1.074 3.960 0.337
-3.530 -0.791 -1.965
-4.388 -1.927 8.661
Sr Ca Pm
1 2 1
Direct
0.500 0.500 0.500 Sr
0.000 0.000 0.224 Ca
0.000 0.000 0.776 Ca
0.500 0.500 0.000 Pm
```

Which structure wins on stability? <c> wins.